No. 1
Compound: ZrFe3Rh
Source: Alexandria via LeMat-Bulk
Functional: PBE
Structure: relaxed

Geometry as POSCAR:
```
ZrFe3Rh
1.0
-1.199 -1.352 -4.173
-1.773 -3.807 1.743
-4.012 2.087 0.477
Fe Rh Zr
3 1 1
direct
0.000 0.000 0.500
0.000 0.500 0.000
0.500 0.000 0.000
0.000 0.000 0.000
0.500 0.500 0.500
```

Summary:
Total energy in Ry per atom: -0.54057
M_tot in μB/f.u.: 7.77
ΔE to the lowest computed polymorph in kcal/mol of atoms: 0.00
Space group: No. 221

=====

No. 2
Compound: NaGe4Pt12
Source: Alexandria via LeMat-Bulk
Functional: PBE
Structure: relaxed

Geometry as POSCAR:
```
NaGe4Pt12
1.0
7.418 0.000 0.000
-2.473 6.994 0.000
-2.473 -3.497 6.057
Pt Ge Na
12 4 1
direct
0.653 0.810 0.156
0.156 0.347 0.503
0.653 0.497 0.844
0.156 0.653 0.810
0.347 0.503 0.156
0.810 0.156 0.653
0.844 0.653 0.497
0.503 0.156 0.347
0.347 0.190 0.844
0.497 0.844 0.653
0.190 0.844 0.347
0.844 0.347 0.190
0.000 0.500 0.000
0.500 0.000 0.000
0.000 0.000 0.500
0.500 0.500 0.500
0.000 0.000 0.000
```

Summary:
Total energy in Ry per atom: -0.40258
M_tot in μB/f.u.: 0.00
Space group: No. 204

=====

No. 3
Compound: Cs8AuO2
Source: Alexandria via LeMat-Bulk
Functional: PBE
Structure: relaxed

Geometry as POSCAR:
```
Cs8AuO2
1.0
8.234 0.233 0.194
0.422 10.253 -0.197
0.422 1.681 10.117
Cs O Au
8 2 1
direct
0.742 0.628 0.628
0.309 0.805 0.805
0.258 0.372 0.372
0.750 0.033 0.716
0.250 0.284 0.967
0.250 0.967 0.284
0.691 0.195 0.195
0.750 0.716 0.033
0.634 0.794 0.794
0.366 0.206 0.206
0.000 0.000 0.000
```

Summary:
Total energy in Ry per atom: -0.17910
M_tot in μB/f.u.: 0.00
Raw formation energy in eV per atom: -0.617
Space group: No. 12

=====

No. 4
Compound: Tb3CeSn2
Source: Alexandria via LeMat-Bulk
Functional: PBE
Structure: relaxed

Geometry as POSCAR:
```
Tb3CeSn2
1.0
-3.005 -6.509 -2.030
6.774 -2.650 -1.529
-1.282 2.160 8.647
Tb Sn Ce
6 4 2
direct
0.500 0.250 0.000
0.788 0.538 0.575
0.212 0.962 0.425
0.500 0.750 0.000
0.788 0.038 0.575
0.212 0.462 0.425
0.827 0.143 0.286
0.459 0.643 0.286
0.173 0.857 0.714
0.541 0.357 0.714
0.000 0.000 0.000
0.000 0.500 0.000
```

Summary:
Total energy in Ry per atom: -0.36071
M_tot in μB/f.u.: 2.31
Space group: No. 72